Sm2TcW | GGA-PBE | relaxed

SG = R-3m, No. 166

a b c (Å): 3.152 3.152 30.914
angles (deg): 90.00 90.00 120.00
Fractional positions:
Sm: 0.000 0.000 0.095
Sm: 0.000 0.000 0.905
Sm: 0.333 0.667 0.572
Sm: 0.333 0.667 0.761
Sm: 0.667 0.333 0.239
Sm: 0.667 0.333 0.428
Tc: 0.000 0.000 0.500
Tc: 0.333 0.667 0.167
Tc: 0.667 0.333 0.833
W: 0.000 0.000 0.000
W: 0.333 0.667 0.667
W: 0.667 0.333 0.333

SmTcW | GGA-PBE | relaxed

SG = Fddd, No. 70

a b c (Å): 11.644 10.892 5.439
angles (deg): 83.89 68.44 27.67
Fractional positions:
Sm: 0.033 0.717 0.033
Sm: 0.283 0.967 0.283
Sm: 0.717 0.033 0.717
Sm: 0.967 0.283 0.967
Tc: 0.277 0.277 0.473
Tc: 0.473 0.473 0.277
Tc: 0.527 0.527 0.723
Tc: 0.723 0.723 0.527
W: 0.000 0.000 0.250
W: 0.000 0.000 0.750
W: 0.250 0.250 0.000
W: 0.750 0.750 0.000

SmY2Tc9 | GGA-PBE | relaxed

SG = R-3m, No. 166

a b c (Å): 9.248 9.248 9.248
angles (deg): 33.86 33.86 33.86
Fractional positions:
Sm: 0.000 0.000 0.000
Y: 0.143 0.143 0.143
Y: 0.857 0.857 0.857
Tc: 0.073 0.589 0.589
Tc: 0.339 0.339 0.339
Tc: 0.411 0.411 0.927
Tc: 0.411 0.927 0.411
Tc: 0.500 0.500 0.500
Tc: 0.589 0.073 0.589
Tc: 0.589 0.589 0.073
Tc: 0.661 0.661 0.661
Tc: 0.927 0.411 0.411

Sm2YTc | GGA-PBE | relaxed

Excess energy over the best structure of this formula in the dataset = 151 meV/atom
SG = P4/mmm, No. 123

a b c (Å): 3.514 3.514 8.963
angles (deg): 90.00 90.00 90.00
Fractional positions:
Sm: 0.000 0.000 0.189
Sm: 0.000 0.000 0.811
Y: 0.500 0.500 0.500
Tc: 0.500 0.500 0.000

Sm2YTc | GGA-PBE | relaxed

Excess energy over the best structure of this formula in the dataset = 283 meV/atom
SG = R-3m, No. 166

a b c (Å): 4.903 4.903 15.155
angles (deg): 90.00 90.00 120.00
Fractional positions:
Sm: 0.000 0.000 0.230
Sm: 0.000 0.000 0.770
Sm: 0.333 0.667 0.436
Sm: 0.333 0.667 0.897
Sm: 0.667 0.333 0.103
Sm: 0.667 0.333 0.564
Y: 0.000 0.000 0.000
Y: 0.333 0.667 0.667
Y: 0.667 0.333 0.333
Tc: 0.000 0.000 0.500
Tc: 0.333 0.667 0.167
Tc: 0.667 0.333 0.833

SmY2Tc | GGA-PBE | relaxed

Excess energy over the best structure of this formula in the dataset = 360 meV/atom
SG = R-3m, No. 166

a b c (Å): 3.443 3.443 33.173
angles (deg): 90.00 90.00 120.00
Fractional positions:
Sm: 0.000 0.000 0.000
Sm: 0.333 0.667 0.667
Sm: 0.667 0.333 0.333
Y: 0.000 0.000 0.106
Y: 0.000 0.000 0.894
Y: 0.333 0.667 0.561
Y: 0.333 0.667 0.772
Y: 0.667 0.333 0.228
Y: 0.667 0.333 0.439
Tc: 0.000 0.000 0.500
Tc: 0.333 0.667 0.167
Tc: 0.667 0.333 0.833

SmY3Tc | GGA-PBE | relaxed

Excess energy over the best structure of this formula in the dataset = 0 meV/atom
SG = Cm, No. 8

a b c (Å): 6.387 6.387 12.915
angles (deg): 111.29 111.29 35.96
Fractional positions:
Sm: 0.000 0.000 0.000
Sm: 0.116 0.116 0.284
Y: 0.316 0.316 0.763
Y: 0.341 0.341 0.141
Y: 0.648 0.648 0.529
Y: 0.676 0.676 0.904
Y: 0.872 0.872 0.386
Y: 0.990 0.990 0.667
Tc: 0.315 0.315 0.530
Tc: 0.675 0.675 0.140

SmYTc | GGA-PBE | relaxed

Excess energy over the best structure of this formula in the dataset = 0 meV/atom
SG = I4mm, No. 107

a b c (Å): 3.502 3.502 12.707
angles (deg): 90.00 90.00 90.00
Fractional positions:
Sm: 0.000 0.000 0.000
Sm: 0.500 0.500 0.500
Y: 0.000 0.000 0.259
Y: 0.500 0.500 0.759
Tc: 0.000 0.000 0.631
Tc: 0.500 0.500 0.131

SmY3Tc | GGA-PBE | relaxed

Excess energy over the best structure of this formula in the dataset = 179 meV/atom
SG = Pm-3m, No. 221

a b c (Å): 5.421 5.421 5.421
angles (deg): 90.00 90.00 90.00
Fractional positions:
Sm: 0.000 0.000 0.000
Y: 0.000 0.500 0.500
Y: 0.500 0.000 0.500
Y: 0.500 0.500 0.000
Tc: 0.500 0.500 0.500

Sm2YTc9 | GGA-PBE | relaxed

SG = R-3m, No. 166

a b c (Å): 9.317 9.317 9.317
angles (deg): 33.57 33.57 33.57
Fractional positions:
Sm: 0.144 0.144 0.144
Sm: 0.856 0.856 0.856
Y: 0.000 0.000 0.000
Tc: 0.074 0.586 0.586
Tc: 0.338 0.338 0.338
Tc: 0.414 0.414 0.926
Tc: 0.414 0.926 0.414
Tc: 0.500 0.500 0.500
Tc: 0.586 0.074 0.586
Tc: 0.586 0.586 0.074
Tc: 0.662 0.662 0.662
Tc: 0.926 0.414 0.414

SmY2Tc | GGA-PBE | relaxed

Excess energy over the best structure of this formula in the dataset = 0 meV/atom
SG = Pnma, No. 62

a b c (Å): 7.466 9.259 6.371
angles (deg): 90.00 90.00 90.00
Fractional positions:
Sm: 0.045 0.250 0.129
Sm: 0.455 0.750 0.629
Sm: 0.545 0.250 0.371
Sm: 0.955 0.750 0.871
Y: 0.176 0.065 0.661
Y: 0.176 0.435 0.661
Y: 0.324 0.565 0.161
Y: 0.324 0.935 0.161
Y: 0.676 0.065 0.839
Y: 0.676 0.435 0.839
Y: 0.824 0.565 0.339
Y: 0.824 0.935 0.339
Tc: 0.116 0.750 0.465
Tc: 0.384 0.250 0.965
Tc: 0.616 0.750 0.035
Tc: 0.884 0.250 0.535

Sm2YTc | GGA-PBE | relaxed

Excess energy over the best structure of this formula in the dataset = 0 meV/atom
SG = Pnma, No. 62

a b c (Å): 7.482 9.402 6.359
angles (deg): 90.00 90.00 90.00
Fractional positions:
Sm: 0.177 0.064 0.162
Sm: 0.177 0.436 0.162
Sm: 0.323 0.564 0.662
Sm: 0.323 0.936 0.662
Sm: 0.677 0.064 0.338
Sm: 0.677 0.436 0.338
Sm: 0.823 0.564 0.838
Sm: 0.823 0.936 0.838
Y: 0.044 0.250 0.633
Y: 0.456 0.750 0.133
Y: 0.544 0.250 0.867
Y: 0.956 0.750 0.367
Tc: 0.111 0.750 0.957
Tc: 0.389 0.250 0.457
Tc: 0.611 0.750 0.543
Tc: 0.889 0.250 0.043

SmYTc | GGA-PBE | relaxed

Excess energy over the best structure of this formula in the dataset = 65 meV/atom
SG = Cmce, No. 64

a b c (Å): 7.062 7.062 7.696
angles (deg): 90.00 90.00 120.89
Fractional positions:
Sm: 0.196 0.804 0.887
Sm: 0.304 0.696 0.387
Sm: 0.696 0.304 0.613
Sm: 0.804 0.196 0.113
Y: 0.206 0.294 0.750
Y: 0.294 0.206 0.250
Y: 0.706 0.794 0.750
Y: 0.794 0.706 0.250
Tc: 0.098 0.902 0.539
Tc: 0.402 0.598 0.039
Tc: 0.598 0.402 0.961
Tc: 0.902 0.098 0.461

SmY2Tc | GGA-PBE | relaxed

Excess energy over the best structure of this formula in the dataset = 111 meV/atom
SG = P4/mmm, No. 123

a b c (Å): 3.467 3.467 9.077
angles (deg): 90.00 90.00 90.00
Fractional positions:
Sm: 0.000 0.000 0.000
Y: 0.500 0.500 0.317
Y: 0.500 0.500 0.683
Tc: 0.000 0.000 0.500

Sm12Zn6Tc | GGA-PBE | relaxed

SG = R-3, No. 148

a b c (Å): 8.133 8.133 8.133
angles (deg): 93.05 93.05 93.05
Fractional positions:
Sm: 0.047 0.696 0.933
Sm: 0.067 0.953 0.304
Sm: 0.176 0.527 0.409
Sm: 0.304 0.067 0.953
Sm: 0.409 0.176 0.527
Sm: 0.473 0.591 0.824
Sm: 0.527 0.409 0.176
Sm: 0.591 0.824 0.473
Sm: 0.696 0.933 0.047
Sm: 0.824 0.473 0.591
Sm: 0.933 0.047 0.696
Sm: 0.953 0.304 0.067
Zn: 0.164 0.358 0.760
Zn: 0.240 0.836 0.642
Zn: 0.358 0.760 0.164
Zn: 0.642 0.240 0.836
Zn: 0.760 0.164 0.358
Zn: 0.836 0.642 0.240
Tc: 0.500 0.500 0.500

Sm4Zn3Tc | GGA-PBE | relaxed

SG = P4/mmm, No. 123

a b c (Å): 3.586 3.586 14.644
angles (deg): 90.00 90.00 90.00
Fractional positions:
Sm: 0.000 0.000 0.113
Sm: 0.000 0.000 0.373
Sm: 0.000 0.000 0.627
Sm: 0.000 0.000 0.887
Zn: 0.500 0.500 0.246
Zn: 0.500 0.500 0.500
Zn: 0.500 0.500 0.754
Tc: 0.500 0.500 0.000

SmZn4Tc | GGA-PBE | relaxed

SG = F-43m, No. 216

a b c (Å): 5.194 5.194 5.194
angles (deg): 60.00 60.00 60.00
Fractional positions:
Sm: 0.000 0.000 0.000
Zn: 0.130 0.623 0.623
Zn: 0.623 0.130 0.623
Zn: 0.623 0.623 0.130
Zn: 0.623 0.623 0.623
Tc: 0.250 0.250 0.250

Sm2Zn15Tc2 | GGA-PBE | relaxed

SG = R-3m, No. 166

a b c (Å): 6.796 6.796 6.796
angles (deg): 83.47 83.47 83.47
Fractional positions:
Sm: 0.160 0.160 0.160
Sm: 0.840 0.840 0.840
Zn: 0.000 0.500 0.500
Zn: 0.153 0.153 0.651
Zn: 0.153 0.651 0.153
Zn: 0.210 0.500 0.790
Zn: 0.210 0.790 0.500
Zn: 0.349 0.847 0.847
Zn: 0.500 0.000 0.500
Zn: 0.500 0.210 0.790
Zn: 0.500 0.500 0.000
Zn: 0.500 0.790 0.210
Zn: 0.651 0.153 0.153
Zn: 0.790 0.210 0.500
Zn: 0.790 0.500 0.210
Zn: 0.847 0.349 0.847
Zn: 0.847 0.847 0.349
Tc: 0.409 0.409 0.409
Tc: 0.591 0.591 0.591

SmZnTc | GGA-PBE | relaxed

SG = C2/m, No. 12

a b c (Å): 8.770 5.636 5.189
angles (deg): 90.00 108.43 90.00
Fractional positions:
Sm: 0.148 0.000 0.416
Sm: 0.352 0.500 0.584
Sm: 0.648 0.500 0.416
Sm: 0.852 0.000 0.584
Zn: 0.250 0.250 0.000
Zn: 0.250 0.750 0.000
Zn: 0.750 0.250 0.000
Zn: 0.750 0.750 0.000
Tc: 0.009 0.500 0.733
Tc: 0.491 0.000 0.267
Tc: 0.509 0.000 0.733
Tc: 0.991 0.500 0.267

Sm6Zn5Tc | GGA-PBE | relaxed

SG = Cmmm, No. 65

a b c (Å): 8.067 8.067 7.276
angles (deg): 90.00 90.00 143.05
Fractional positions:
Sm: 0.000 0.000 0.239
Sm: 0.000 0.000 0.761
Sm: 0.339 0.661 0.244
Sm: 0.339 0.661 0.756
Sm: 0.661 0.339 0.244
Sm: 0.661 0.339 0.756
Zn: 0.166 0.834 0.500
Zn: 0.171 0.829 0.000
Zn: 0.500 0.500 0.500
Zn: 0.829 0.171 0.000
Zn: 0.834 0.166 0.500
Tc: 0.500 0.500 0.000

One value per record, in order, for size of the total moment: 1.0, 0.0, 0.0, 0.3, 0.0, 0.0, 0.0, 0.0, 0.0, 0.0, 0.0, 0.0, 0.0, 0.0, 0.0, 0.0, 0.5, 0.0, 0.0, 0.0 μB per cell.
One value per record, in order, for density of states at the Fermi level: 5.57, 2.71, 13.43, 6.28, 3.76, 5.90, 5.33, 4.27, 8.85, 15.12, 3.55, 3.45, 3.54, 6.75, 24.39, 7.45, 6.07, 10.24, 1.59, 9.27 states/eV/f.u..
One value per record, in order, for DFT formation energy: 4.076, 1.672, -0.380, 0.451, 0.980, 1.175, -0.177, 0.079, 0.720, 0.237, -0.266, -0.151, 0.273, 0.179, -1.146, -1.578, -0.747, -3.578, 0.117, -3.100 eV/f.u..